## KCo2Ru (PBE)

Data for a geometry-optimized KCo2Ru structure. Values from VASP.

Cell and atoms, written as Quantum ESPRESSO input:
```
&SYSTEM
  ibrav = 0, nat = 4, ntyp = 3
/
ATOMIC_SPECIES
K 39.10 K.upf
Co 58.93 Co.upf
Ru 101.07 Ru.upf
ATOMIC_POSITIONS crystal
K 0.000 0.000 0.000
Co 0.292 0.792 0.500
Co 0.708 0.208 0.500
Ru 0.500 0.500 0.000
CELL_PARAMETERS angstrom
-1.301 2.705 5.100
1.301 -2.705 5.100
1.301 2.705 -5.100
```

Results
SG ... Immm, No. 71
Distance to the lowest polymorph of the same formula ... 1.76 eV per formula unit
Magnetic moment ... 4.26 μB per formula unit
Crystal system ... orthorhombic
DFT total energy ... -0.369 Ry/atom
Calculated density ... 5.967 g cm⁻³
Energy of formation from the pure elements ... 4.521 eV per formula unit